# 1
A plane-wave DFT calculation with PBE was carried out for a geometry-optimized Pm2SiHRh6 structure.

## Properties
The total energy is -6.89 eV/atom.

Lattice parameters (Å, degrees): 6.0827 6.0827 8.5774 90.00 90.00 90.00
Space group I4/mmm (No. 139)
Asymmetric unit:
Pm 0.0000 0.5000 0.2500 x4
Si 0.0000 0.0000 0.0000 x2
H 0.0000 0.0000 0.5000 x2
Rh 0.0000 0.0000 0.2679 x4
Rh 0.2326 0.2326 0.5000 x8

=====

# 2
A plane-wave DFT calculation with PBE was carried out for a geometry-optimized Pm8SbS6 structure.

## Properties
The total energy is -6.07 eV/atom.

Lattice parameters (Å, degrees): 10.4490 10.4490 4.0967 90.00 90.00 120.00
Space group P-3 (No. 147)
Asymmetric unit:
Pm 0.0344 0.3360 0.2546 x6
Pm 0.3333 0.6667 0.7484 x2
Sb 0.0000 0.0000 0.5000 x1
S 0.1356 0.6529 0.2485 x6

=====

# 3
A plane-wave DFT calculation with PBE was carried out for a geometry-optimized Ce6GaRh10 structure.

## Properties
The value obtained for the formation energy is -10.5 eV per formula unit. The total energy is -7.21 eV/atom.

Lattice parameters (Å, degrees): 7.8618 7.8618 6.1371 90.00 90.00 120.00
Space group P-31m (No. 162)
Asymmetric unit:
Ce 0.0000 0.3838 0.2662 x6
Ga 0.0000 0.0000 0.5000 x1
Rh 0.0000 0.2287 0.8185 x6
Rh 0.3333 0.6667 0.0000 x2
Rh 0.3333 0.6667 0.5000 x2

=====

# 4
A plane-wave DFT calculation with PBE was carried out for a geometry-optimized AgPd5Au4 structure.

## Properties
The value obtained for the formation energy is -0.7 eV per formula unit. The total energy is -4.26 eV/atom.

Lattice parameters (Å, degrees): 2.8461 2.8461 20.4843 90.00 90.00 90.00
Space group P4/mmm (No. 123)
Asymmetric unit:
Ag 0.0000 0.0000 0.0000 x1
Pd 0.5000 0.5000 0.0996 x2
Pd 0.5000 0.5000 0.2998 x2
Pd 0.5000 0.5000 0.5000 x1
Au 0.0000 0.0000 0.1996 x2
Au 0.0000 0.0000 0.3999 x2

=====

# 5
A plane-wave DFT calculation with PBE was carried out for a geometry-optimized VBiRu3 structure.

## Properties
The value obtained for the formation energy is 4.7 eV per formula unit. The total energy is -7.23 eV/atom.

Lattice parameters (Å, degrees): 4.5411 4.5411 4.5411 90.00 90.00 90.00
Space group Pm-3m (No. 221)
Asymmetric unit:
V 0.0000 0.0000 0.0000 x1
Bi 0.5000 0.5000 0.5000 x1
Ru 0.0000 0.0000 0.5000 x3

=====

# 6
A plane-wave DFT calculation with PBE was carried out for a geometry-optimized KTlZn2 structure.

## Properties
The value obtained for the formation energy is 0.1 eV per formula unit. The total energy is -1.48 eV/atom.

Lattice parameters (Å, degrees): 8.0281 4.6366 6.8263 90.00 112.94 90.00
Space group Cm (No. 8)
Asymmetric unit:
K 0.0000 0.0000 0.0000 x2
Tl 0.1986 0.0000 0.5971 x2
Zn 0.3019 0.5000 0.4058 x2
Zn 0.4712 0.0000 0.4135 x2

=====

# 7
A plane-wave DFT calculation with PBE was carried out for a geometry-optimized PuPa2Re structure.

## Properties
The value obtained for the formation energy is 0.1 eV per formula unit. The total energy is -11.42 eV/atom.

Lattice parameters (Å, degrees): 5.0634 5.0634 3.2909 90.00 90.00 90.00
Space group P4/mmm (No. 123)
Asymmetric unit:
Pu 0.0000 0.0000 0.0000 x1
Pa 0.0000 0.5000 0.5000 x2
Re 0.5000 0.5000 0.0000 x1

=====

# 8
A plane-wave DFT calculation with PBE was carried out for a geometry-optimized ZnNiAs2Br structure.

## Properties
The total energy is -3.18 eV/atom.

Lattice parameters (Å, degrees): 4.5914 4.5914 5.2259 90.00 90.00 90.00
Space group P4/mmm (No. 123)
Asymmetric unit:
Zn 0.0000 0.0000 0.0000 x1
Ni 0.5000 0.5000 0.5000 x1
As 0.0000 0.5000 0.5000 x2
Br 0.5000 0.5000 0.0000 x1

=====

# 9
A plane-wave DFT calculation with PBE was carried out for a geometry-optimized Th2MgNi3 structure.

## Properties
The value obtained for the formation energy is -2.1 eV per formula unit. The total energy is -5.98 eV/atom.

Lattice parameters (Å, degrees): 7.0798 3.8091 17.1116 90.00 90.00 90.00
Space group Pnma (No. 62)
Asymmetric unit:
Th 0.0962 0.2500 0.2151 x4
Th 0.1351 0.2500 0.4276 x4
Mg 0.0213 0.7500 0.0635 x4
Ni 0.1098 0.2500 0.6573 x4
Ni 0.2138 0.2500 0.8105 x4
Ni 0.2357 0.7500 0.5526 x4

=====

# 10
A plane-wave DFT calculation with PBE was carried out for a geometry-optimized BaGaCo structure.

## Properties
The value obtained for the formation energy is -0.5 eV per formula unit. The total energy is -4.19 eV/atom.

Lattice parameters (Å, degrees): 4.6565 4.1206 9.1801 90.00 96.01 90.00
Space group P2_1/m (No. 11)
Asymmetric unit:
Ba 0.2172 0.2500 0.2894 x2
Ga 0.3536 0.2500 0.9098 x2
Co 0.1268 0.7500 0.0065 x2

=====

# 11
A plane-wave DFT calculation with PBE was carried out for a geometry-optimized TcTeBr structure.

## Properties
The total energy is -5.10 eV/atom.

Lattice parameters (Å, degrees): 3.7564 5.9081 7.6426 101.13 93.40 93.68
Space group P-1 (No. 2)
Asymmetric unit:
Tc 0.0773 0.2406 0.4766 x2
Te 0.4145 0.6011 0.7090 x2
Br 0.0555 0.8866 0.2309 x2

=====

# 12
A plane-wave DFT calculation with PBE was carried out for a geometry-optimized ZrGa2SnHg structure.

## Properties
The value obtained for the formation energy is 3.3 eV per formula unit. The total energy is -3.12 eV/atom.

Lattice parameters (Å, degrees): 5.1553 5.1553 5.5958 90.00 90.00 90.00
Space group P4/mmm (No. 123)
Asymmetric unit:
Zr 0.0000 0.0000 0.0000 x1
Ga 0.0000 0.5000 0.5000 x2
Sn 0.0000 0.0000 0.5000 x1
Hg 0.5000 0.5000 0.0000 x1

=====

Number 2 is which compound?
Pm8SbS6